[1]
Y2Cu3Mo4C3 | PBE-GGA | relaxed

Unit cell a=5.455 b=5.455 c=13.802 alpha=102.06 beta=102.06 gamma=60.10
Positions (direct):
Y  0.381  0.544  0.623
C  0.326  0.847  0.500
Y  0.544  0.381  0.123
Cu  0.413  0.091  0.747
Mo  0.792  0.986  0.920
C  0.674  0.153  0.500
C  0.000  0.500  0.500
Mo  0.693  0.848  0.580
C  0.500  0.000  0.000
Y  0.456  0.619  0.877
Mo  0.152  0.307  0.920
Cu  0.918  0.082  0.750
C  0.847  0.326  0.000
Cu  0.091  0.413  0.247
Mo  0.986  0.792  0.420
Mo  0.307  0.152  0.420
C  0.153  0.674  0.000
Y  0.619  0.456  0.377
Cu  0.909  0.587  0.753
Cu  0.082  0.918  0.250
Mo  0.848  0.693  0.080
Mo  0.208  0.014  0.080
Mo  0.014  0.208  0.580
Cu  0.587  0.909  0.253

Calculated values
- energy (eV per atom) = -8.101

[2]
K2H2OsCCl5O2 | PBE-GGA | relaxed

Unit cell a=13.813 b=7.183 c=22.244 alpha=90.00 beta=99.00 gamma=90.00
Positions (direct):
O  0.090  0.597  0.139
K  0.680  0.087  0.716
Cl  0.315  0.588  0.620
Os  0.917  0.342  0.111
O  0.805  0.655  0.284
K  0.849  0.880  0.996
Cl  0.278  0.369  0.104
Cl  0.193  0.098  0.396
O  0.195  0.155  0.216
Cl  0.010  0.059  0.113
Cl  0.990  0.559  0.387
C  0.472  0.497  0.374
H  0.274  0.564  0.193
Cl  0.520  0.069  0.600
Cl  0.607  0.637  0.493
Cl  0.393  0.363  0.507
Cl  0.902  0.168  0.504
H  0.138  0.092  0.193
O  0.410  0.113  0.862
O  0.293  0.933  0.737
K  0.861  0.907  0.208
Cl  0.193  0.402  0.896
K  0.320  0.587  0.784
Cl  0.078  0.827  0.282
Cl  0.232  0.857  0.901
K  0.645  0.145  0.491
H  0.227  0.285  0.685
Cl  0.922  0.173  0.718
Cl  0.807  0.902  0.604
Cl  0.768  0.357  0.599
O  0.293  0.567  0.237
Cl  0.232  0.643  0.401
Os  0.424  0.339  0.614
H  0.862  0.592  0.307
H  0.648  0.987  0.257
O  0.590  0.613  0.638
Cl  0.902  0.332  0.004
H  0.274  0.936  0.693
Cl  0.098  0.832  0.496
Cl  0.449  0.217  0.220
O  0.805  0.845  0.784
Cl  0.078  0.673  0.782
C  0.024  0.005  0.624
H  0.726  0.436  0.807
H  0.773  0.715  0.315
C  0.528  0.997  0.126
K  0.151  0.380  0.504
K  0.355  0.645  0.009
O  0.910  0.403  0.861
O  0.195  0.345  0.716
C  0.024  0.495  0.124
H  0.648  0.513  0.757
H  0.862  0.908  0.807
O  0.910  0.097  0.361
K  0.680  0.413  0.216
K  0.645  0.355  0.991
Cl  0.990  0.941  0.887
Cl  0.551  0.717  0.280
Cl  0.768  0.143  0.099
Os  0.083  0.842  0.389
Os  0.083  0.658  0.889
Cl  0.607  0.863  0.993
O  0.707  0.433  0.763
Cl  0.807  0.598  0.104
K  0.151  0.120  0.004
Cl  0.551  0.783  0.780
K  0.320  0.913  0.284
Cl  0.520  0.431  0.100
Cl  0.278  0.131  0.604
K  0.139  0.093  0.792
Cl  0.685  0.412  0.380
Cl  0.722  0.631  0.896
Os  0.424  0.161  0.114
H  0.227  0.215  0.185
O  0.410  0.387  0.362
Cl  0.010  0.441  0.613
H  0.352  0.487  0.243
Os  0.576  0.839  0.886
C  0.528  0.503  0.626
Cl  0.315  0.912  0.120
Cl  0.449  0.283  0.720
K  0.861  0.593  0.708
K  0.355  0.855  0.509
H  0.352  0.013  0.743
Os  0.576  0.661  0.386
C  0.976  0.995  0.376
O  0.707  0.067  0.263
H  0.726  0.064  0.307
O  0.590  0.887  0.138
Cl  0.098  0.668  0.996
Os  0.917  0.158  0.611
C  0.472  0.003  0.874
H  0.773  0.785  0.815
Cl  0.393  0.137  0.007
Cl  0.685  0.088  0.880
K  0.849  0.620  0.496
H  0.138  0.408  0.693
Cl  0.722  0.869  0.396
K  0.139  0.407  0.292
C  0.976  0.505  0.876
O  0.090  0.903  0.639
Cl  0.480  0.569  0.900
Cl  0.480  0.931  0.400
Cl  0.922  0.327  0.218

Calculated values
- energy (eV per atom) = -4.866